No. 1
Entry from Alexandria via LeMat-Bulk: crystalline SrLaTa2 at its relaxed geometry (PBE-GGA).

abc: 6.7211 6.7211 6.7211
angles: 101.04 101.04 128.09
Positions (direct):
Sr1 0.0000 0.0000 0.0000
Sr2 0.7500 0.2500 0.5000
La1 0.2500 0.7500 0.5000
La2 0.5000 0.5000 0.0000
Ta1 0.1336 0.1250 0.5086
Ta2 0.3750 0.8664 0.9914
Ta3 0.6164 0.6250 0.4914
Ta4 0.8750 0.3836 0.0086

Calculated values
space group: I-42d (122)
excess energy over the best structure of this formula in the dataset: 1022 meV/atom
calculated density: 9.1 Mg/m³

***

No. 2
Entry from Alexandria via LeMat-Bulk: crystalline SrLaTaTi2 at its relaxed geometry (PBE-GGA).

abc: 5.0282 5.0282 5.1532
angles: 90.00 90.00 90.00
Positions (direct):
Sr1 0.0000 0.0000 0.0000
La1 0.5000 0.5000 0.5000
Ta1 0.5000 0.5000 0.0000
Ti1 0.0000 0.5000 0.5000
Ti2 0.5000 0.0000 0.5000

Calculated values
space group: P4/mmm (123)
E_tot: -27.811 eV per cell
calculated density: 6.4 Mg/m³

***

No. 3
Entry from Alexandria via LeMat-Bulk: crystalline SrLaTb at its relaxed geometry (PBE-GGA).

abc: 8.6206 8.6206 8.6206
angles: 154.42 154.42 36.49
Positions (direct):
Sr1 0.0000 0.0000 0.0000
La1 0.6845 0.6845 0.0000
Tb1 0.3251 0.3251 0.0000

Calculated values
space group: I4mm (107)
excess energy over the best structure of this formula in the dataset: 0 meV/atom
calculated density: 5.4 Mg/m³